1.
A plane-wave DFT calculation with GGA-PBE was carried out for an optimized crystal structure of VRh2Se6.

For the formation energy without anion corrections, the calculation gives -0.308 eV per atom. For the density of states at the Fermi level, the calculation gives 5.585 states/eV/f.u.

It has space group P4_2/mnm (No. 136), with a = 5.7298 Å, b = 5.7298 Å, c = 11.5443 Å, α = 90.00°, β = 90.00° and γ = 90.00°. Symmetry generates all atoms from V at (0.0000, 0.0000, 0.0000), Rh at (0.0000, 0.0000, 0.3360), Se at (0.1916, 0.1916, 0.1640) and Se at (0.1959, 0.1959, 0.5000).


2.
A plane-wave DFT calculation with GGA-PBE was carried out for an optimized crystal structure of Tb3Y8Tm2.

The calculation puts the formation energy at 302.2 kJ/mol of formula units. For the density of states at the Fermi level, the calculation gives 22.988 states/eV/f.u.

It has space group Cmmm (No. 65), with a = 7.6594 Å, b = 20.0384 Å, c = 5.6483 Å, α = 90.00°, β = 90.00° and γ = 90.00°. Symmetry generates all atoms from Tb at (0.0000, 0.0000, 0.0000), Tb at (0.2143, 0.5000, 0.5000), Y at (0.0000, 0.1339, 0.5000), Y at (0.0000, 0.3285, 0.5000), Y at (0.2106, 0.3918, 0.0000) and Tm at (0.0000, 0.2413, 0.0000).


3.
A plane-wave DFT calculation with GGA-PBE was carried out for an optimized crystal structure of Tb2Dy2Ga.

The calculation puts the formation energy at 161.2 kJ/mol of formula units. For the density of states at the Fermi level, the calculation gives 5.954 states/eV/f.u.

It has space group I4/mmm (No. 139), with a = 4.2092 Å, b = 4.2092 Å, c = 17.5180 Å, α = 90.00°, β = 90.00° and γ = 90.00°. Symmetry generates all atoms from Tb at (0.0000, 0.5000, 0.2500), Dy at (0.0000, 0.0000, 0.0864) and Ga at (0.0000, 0.0000, 0.5000).


4.
A plane-wave DFT calculation with GGA-PBE was carried out for an optimized crystal structure of Ba3TbPm3Te8.

For the formation energy without anion corrections, the calculation gives -1.566 eV per atom. For the density of states at the Fermi level, the calculation gives 4.105 states/eV/f.u.

It has space group C2/m (No. 12), with a = 15.8160 Å, b = 9.1355 Å, c = 9.6070 Å, α = 90.00°, β = 123.25° and γ = 90.00°. Symmetry generates all atoms from Ba at (0.0000, 0.0000, 0.0000), Ba at (0.2500, 0.2500, 0.0000), Tb at (0.0000, 0.0000, 0.5000), Pm at (0.0000, 0.5000, 0.5000), Pm at (0.2500, 0.2500, 0.5000), Te at (0.0099, 0.2487, 0.2808), Te at (0.2387, 0.0000, 0.7191) and Te at (0.2411, 0.5000, 0.7232).


5.
A plane-wave DFT calculation with GGA-PBE was carried out for an optimized crystal structure of Nd2SmDy2Ho.

The calculation puts the formation energy at 151.3 kJ/mol of formula units. For the density of states at the Fermi level, the calculation gives 9.992 states/eV/f.u.

It has space group Pnnm (No. 58), with a = 6.6273 Å, b = 18.0604 Å, c = 3.3997 Å, α = 90.00°, β = 90.00° and γ = 90.00°. Symmetry generates all atoms from Nd at (0.2301, 0.1855, 0.0000), Sm at (0.0000, 0.5000, 0.0000), Dy at (0.2284, 0.3540, 0.5000) and Ho at (0.0000, 0.0000, 0.0000).


6.
A plane-wave DFT calculation with GGA-PBE was carried out for an optimized crystal structure of NbSb2Pd7.

For the formation energy without anion corrections, the calculation gives -0.373 eV per atom. For the density of states at the Fermi level, the calculation gives 7.049 states/eV/f.u.

It has space group I4/mmm (No. 139), with a = 3.9807 Å, b = 3.9807 Å, c = 22.9169 Å, α = 90.00°, β = 90.00° and γ = 90.00°. Symmetry generates all atoms from Nb at (0.0000, 0.0000, 0.0000), Sb at (0.0000, 0.0000, 0.3317), Pd at (0.0000, 0.0000, 0.5000), Pd at (0.0000, 0.5000, 0.0863) and Pd at (0.0000, 0.5000, 0.2500).


7.
A plane-wave DFT calculation with GGA-PBE was carried out for an optimized crystal structure of Zn2Cd2Ag3.

The calculation puts the formation energy at 6.2 kJ/mol of formula units. The distance to the lowest polymorph of the same formula comes out at 0.019 eV/atom. For the density of states at the Fermi level, the calculation gives 1.768 states/eV/f.u.

It has space group P2_1/c (No. 14), with a = 5.2444 Å, b = 7.3819 Å, c = 7.2535 Å, α = 90.00°, β = 112.88° and γ = 90.00°. Symmetry generates all atoms from Zn at (0.1138, 0.1663, 0.3887), Cd at (0.3836, 0.0420, 0.7838), Ag at (0.0000, 0.0000, 0.0000) and Ag at (0.2959, 0.6780, 0.9306).


8.
A plane-wave DFT calculation with GGA-PBE was carried out for an optimized crystal structure of Ti3MoOs2.

The calculation puts the formation energy at -292.5 kJ/mol of formula units. For the density of states at the Fermi level, the calculation gives 3.542 states/eV/f.u.

It has space group P4/mmm (No. 123), with a = 3.1012 Å, b = 3.1012 Å, c = 9.4315 Å, α = 90.00°, β = 90.00° and γ = 90.00°. Symmetry generates all atoms from Ti at (0.0000, 0.0000, 0.0000), Ti at (0.0000, 0.0000, 0.3283), Mo at (0.5000, 0.5000, 0.5000) and Os at (0.5000, 0.5000, 0.1639).


Number 1: V 379.00 Å³/cell, magnetization 1.27 μB per cell. Number 2: V 866.90 Å³/cell, magnetization 0.00 μB per cell. Number 3: V 310.38 Å³/cell, magnetization 0.00 μB per cell. Number 4: V 1160.87 Å³/cell, magnetization 0.00 μB per cell. Number 5: V 406.92 Å³/cell, magnetization 0.00 μB per cell. Number 6: V 363.13 Å³/cell, magnetization 0.00 μB per cell. Number 7: V 258.71 Å³/cell, magnetization 0.00 μB per cell. Number 8: V 90.70 Å³/cell, magnetization 0.00 μB per cell.